This record from the Alexandria database describes a relaxed KCaSeBr2 crystal. The functional is PBE.

Cell lengths 5.7276, 5.7276, 5.7170 Å; angles 90.00, 90.00, 90.00 degrees
Site moments in Bohr magnetons follow the coordinates.
Fractional positions:
Se: 0.0000 0.0000 0.5000  0.48
Br: 0.0000 0.5000 0.0000  0.06
Br: 0.5000 0.0000 0.0000  0.06
K: 0.5000 0.5000 0.5000  0.00
Ca: 0.0000 0.0000 0.0000  -0.01

Values from the calculation:
- relative energy among the computed polymorphs (meV/atom) = 0
- magnetization (μB per atom) = 0.201
- SG = P4/mmm
- E (eV/atom) = -3.381
- raw formation energy (eV/atom) = -1.395


This record from the Alexandria database describes a relaxed KZr4Al crystal. The functional is PBE.

Cell lengths 5.9810, 5.9810, 5.9810 Å; angles 60.00, 60.00, 60.00 degrees
Fractional positions:
K: 0.0000 0.0000 0.0000
Zr: 0.3769 0.3769 0.3769
Zr: 0.8692 0.3769 0.3769
Zr: 0.3769 0.8692 0.3769
Zr: 0.3769 0.3769 0.8692
Al: 0.7500 0.7500 0.7500

Values from the calculation:
- energy relative to the elements (meV per atom) = 630
- magnetization (μB per atom) = 0.000
- SG = F-43m
- E (eV/atom) = -5.876


This record from the Alexandria database describes a relaxed Ac6PbSe4 crystal. The functional is PBE.

Cell lengths 4.5736, 7.6258, 22.9238 Å; angles 90.00, 90.00, 107.45 degrees
Fractional positions:
Se: 0.8616 0.7231 0.9629
Se: 0.5929 0.1858 0.8777
Se: 0.1384 0.2769 0.0371
Se: 0.4071 0.8142 0.1223
Se: 0.4071 0.8142 0.3777
Se: 0.8616 0.7231 0.5371
Se: 0.1384 0.2769 0.4629
Se: 0.5929 0.1858 0.6223
Ac: 0.2314 0.4629 0.5878
Ac: 0.2314 0.4629 0.9122
Ac: 0.0468 0.0937 0.1625
Ac: 0.9532 0.9063 0.6625
Ac: 0.7686 0.5371 0.4122
Ac: 0.5000 0.0000 0.5000
Ac: 0.0468 0.0937 0.3375
Ac: 0.3356 0.6711 0.2500
Ac: 0.5000 0.0000 0.0000
Ac: 0.9532 0.9063 0.8375
Ac: 0.6644 0.3289 0.7500
Ac: 0.7686 0.5371 0.0878
Pb: 0.3390 0.6780 0.7500
Pb: 0.6610 0.3220 0.2500

Values from the calculation:
- magnetization (μB per atom) = 0.049
- SG = Cmcm
- E (eV/atom) = -5.289
- raw formation energy (eV/atom) = -1.444


This record from the Alexandria database describes a relaxed Ce4Hg4Pb3 crystal. The functional is PBE.

Cell lengths 4.2025, 8.1123, 10.7365 Å; angles 112.20, 101.29, 90.00 degrees
Site moments in Bohr magnetons follow the coordinates.
Fractional positions:
Pb: 0.8824 0.8824 0.7648  -0.02
Pb: 0.1176 0.1176 0.2352  -0.02
Pb: 0.0000 0.5000 0.0000  -0.01
Ce: 0.7472 0.2472 0.4944  0.90
Ce: 0.5000 0.8322 0.0000  0.79
Ce: 0.2528 0.7528 0.5056  0.90
Ce: 0.5000 0.1678 0.0000  0.79
Hg: 0.3476 0.5326 0.6951  0.01
Hg: 0.3476 0.1626 0.6951  0.01
Hg: 0.6524 0.8374 0.3049  0.01
Hg: 0.6524 0.4674 0.3049  0.01

Values from the calculation:
- energy relative to the elements (meV per atom) = -204
- magnetization (μB per atom) = 0.363
- SG = Immm
- E (eV/atom) = -3.483


This record from the Alexandria database describes a relaxed Ba2CoPb crystal. The functional is PBE.

Cell lengths 6.8098, 6.8098, 6.8098 Å; angles 145.84, 130.61, 61.42 degrees
Site moments in Bohr magnetons follow the coordinates.
Fractional positions:
Ba: 0.7061 0.2061 0.5000  -0.03
Ba: 0.0164 0.0164 0.0000  -0.06
Co: 0.4635 0.4635 0.0000  1.44
Pb: 0.3140 0.8140 0.5000  0.00

Values from the calculation:
- energy relative to the elements (meV per atom) = 82
- magnetization (μB per atom) = 0.302
- SG = Imm2
- E (eV/atom) = -3.583


This record from the Alexandria database describes a relaxed Eu3Dy crystal. The functional is PBE.

Cell lengths 5.3522, 5.3522, 5.3522 Å; angles 90.00, 90.00, 90.00 degrees
Site moments in Bohr magnetons follow the coordinates.
Fractional positions:
Eu: 0.0000 0.5000 0.5000  6.96
Eu: 0.5000 0.0000 0.5000  6.96
Eu: 0.5000 0.5000 0.0000  6.96
Dy: 0.0000 0.0000 0.0000  0.34

Values from the calculation:
- energy relative to the elements (meV per atom) = 96
- relative energy among the computed polymorphs (meV/atom) = 2
- magnetization (μB per atom) = 5.658
- SG = Pm-3m
- E (eV/atom) = -8.760


This record from the Alexandria database describes a relaxed MoIr2Se crystal. The functional is PBE.

Cell lengths 5.8124, 5.8124, 6.6230 Å; angles 63.97, 63.97, 90.00 degrees
Fractional positions:
Mo: 0.7500 0.2500 0.5000
Mo: 0.0000 0.0000 0.0000
Ir: 0.8750 0.8739 0.7500
Ir: 0.6239 0.1250 0.2500
Ir: 0.1261 0.6250 0.2500
Ir: 0.3750 0.3761 0.7500
Se: 0.5000 0.5000 0.0000
Se: 0.2500 0.7500 0.5000

Values from the calculation:
- magnetization (μB per atom) = 0.000
- SG = I-42d
- E (eV/atom) = -7.467
- raw formation energy (eV/atom) = 0.543


This record from the Alexandria database describes a relaxed MnInICl2 crystal. The functional is PBE.

Cell lengths 4.5468, 5.6604, 10.4683 Å; angles 90.36, 90.00, 90.00 degrees
Fractional positions:
Cl: 0.2500 0.9981 0.0935
Cl: 0.7500 0.9941 0.3509
Cl: 0.7500 0.0019 0.9065
Cl: 0.2500 0.0059 0.6491
Mn: 0.2500 0.9918 0.8703
Mn: 0.7500 0.0082 0.1297
I: 0.2500 0.5027 0.8360
I: 0.7500 0.4973 0.1640
In: 0.7500 0.3826 0.6110
In: 0.2500 0.6174 0.3890

Values from the calculation:
- relative energy among the computed polymorphs (meV/atom) = 455
- magnetization (μB per atom) = 0.004
- SG = P2_1/m
- E (eV/atom) = -3.718
- raw formation energy (eV/atom) = -0.288


This record from the Alexandria database describes a relaxed Tb4HoAg5 crystal. The functional is PBE.

Cell lengths 3.6163, 3.6163, 18.5047 Å; angles 90.00, 90.00, 90.00 degrees
Fractional positions:
Tb: 0.0000 0.0000 0.3996
Tb: 0.0000 0.0000 0.1988
Tb: 0.0000 0.0000 0.6004
Tb: 0.0000 0.0000 0.8012
Ag: 0.5000 0.5000 0.7008
Ag: 0.5000 0.5000 0.2992
Ag: 0.5000 0.5000 0.5000
Ag: 0.5000 0.5000 0.0977
Ag: 0.5000 0.5000 0.9023
Ho: 0.0000 0.0000 0.0000

Values from the calculation:
- energy relative to the elements (meV per atom) = -320
- magnetization (μB per atom) = 0.000
- SG = P4/mmm
- E (eV/atom) = -4.055


This record from the Alexandria database describes a relaxed Sc5Ti3N8 crystal. The functional is PBE.

Cell lengths 6.2208, 6.2208, 6.2372 Å; angles 60.09, 60.09, 60.00 degrees
Fractional positions:
Sc: 0.5000 0.5000 0.5000
Sc: 0.5000 0.0000 0.0000
Sc: 0.0000 0.0000 0.0000
Sc: 0.0000 0.5000 0.0000
Sc: 0.5000 0.5000 0.0000
Ti: 0.5000 0.0000 0.5000
Ti: 0.0000 0.0000 0.5000
Ti: 0.0000 0.5000 0.5000
N: 0.2396 0.7500 0.2603
N: 0.2500 0.2500 0.7397
N: 0.7500 0.7500 0.2603
N: 0.7500 0.2396 0.2603
N: 0.7545 0.7545 0.7364
N: 0.2500 0.7604 0.7397
N: 0.7604 0.2500 0.7397
N: 0.2455 0.2455 0.2636

Values from the calculation:
- magnetization (μB per atom) = 0.000
- SG = R-3m
- E (eV/atom) = -9.471
- raw formation energy (eV/atom) = -1.849


This record from the Alexandria database describes a relaxed NdYHo6 crystal. The functional is PBE.

Cell lengths 9.6224, 9.6230, 6.4406 Å; angles 41.67, 41.68, 60.00 degrees
Fractional positions:
Ho: 0.2518 0.9554 0.2455
Ho: 0.7482 0.0446 0.7545
Ho: 0.4525 0.7482 0.7544
Ho: 0.0448 0.4525 0.7545
Ho: 0.9552 0.5475 0.2455
Ho: 0.5475 0.2517 0.2456
Y: 0.5000 0.5000 0.5000
Nd: 0.0000 0.0000 0.0000

Values from the calculation:
- energy relative to the elements (meV per atom) = 149
- relative energy among the computed polymorphs (meV/atom) = 0
- magnetization (μB per atom) = 0.000
- SG = R-3
- E (eV/atom) = -4.688


This record from the Alexandria database describes a relaxed HoPuMgOs crystal. The functional is PBE.

Cell lengths 4.9677, 4.9677, 4.9677 Å; angles 60.00, 60.00, 60.00 degrees
Site moments in Bohr magnetons follow the coordinates.
Fractional positions:
Ho: 0.2500 0.2500 0.2500  0.11
Mg: 0.0000 0.0000 0.0000  0.02
Pu: 0.7500 0.7500 0.7500  5.21
Os: 0.5000 0.5000 0.5000  -0.20

Values from the calculation:
- energy relative to the elements (meV per atom) = 11
- magnetization (μB per atom) = 1.388
- SG = F-43m
- E (eV/atom) = -7.923


Which value of magnetization does entry 11 give? 0.000 μB per atom


What is the magnetization in the eleventh record? 0.000 μB per atom


What is the E in the fourth record? -3.483 eV/atom


The highest magnetization belongs to which entry? Eu3Dy